No. 1
Entry from Alexandria via LeMat-Bulk: a relaxed TbDySO2 crystal (PBE).

- Raw formation energy: -3.069 eV per atom
- Symmetry: I4mm (107)
- E: -7.72 eV/atom
- Total magnetic moment: 0.00 μB/atom
- Mass density: 7.46 g/cm³

Unit cell a=3.786 b=3.786 c=11.976 alpha=90.00 beta=90.00 gamma=90.00
Fractional coordinates of all 10 atoms:
Tb 0.000 0.000 0.000
Tb 0.500 0.500 0.500
Dy 0.000 0.000 0.306
Dy 0.500 0.500 0.806
S 0.000 0.000 0.652
S 0.500 0.500 0.152
O 0.000 0.500 0.402
O 0.000 0.500 0.902
O 0.500 0.000 0.402
O 0.500 0.000 0.902

No. 2
Entry from Alexandria via LeMat-Bulk: a relaxed Dy2ZnTe2S2O14 crystal (PBE).

- Raw formation energy: -1.911 eV per atom
- Symmetry: P-1 (2)
- E: -6.41 eV/atom
- Total magnetic moment: 0.00 μB/atom
- Mass density: 5.24 g/cm³

Unit cell a=5.304 b=7.915 c=8.181 alpha=64.01 beta=73.64 gamma=85.53
Fractional coordinates of all 21 atoms:
Dy 0.080 0.253 0.017
Dy 0.920 0.747 0.983
Zn 0.000 0.000 0.500
Te 0.481 0.727 0.663
Te 0.519 0.273 0.337
S 0.242 0.754 0.248
S 0.758 0.246 0.752
O 0.109 0.594 0.251
O 0.142 0.770 0.429
O 0.177 0.925 0.088
O 0.245 0.561 0.895
O 0.248 0.925 0.669
O 0.278 0.195 0.247
O 0.470 0.267 0.789
O 0.530 0.733 0.211
O 0.722 0.805 0.753
O 0.752 0.075 0.331
O 0.755 0.439 0.105
O 0.823 0.075 0.912
O 0.858 0.230 0.571
O 0.891 0.406 0.749

No. 3
Entry from Alexandria via LeMat-Bulk: a relaxed DyTmS2O crystal (PBE).

- Raw formation energy: -2.540 eV per atom
- Symmetry: P4/nmm (129)
- E: -7.00 eV/atom
- Total magnetic moment: 0.00 μB/atom
- Mass density: 6.75 g/cm³

Unit cell a=3.836 b=3.836 c=13.763 alpha=90.00 beta=90.00 gamma=90.00
Fractional coordinates of all 10 atoms:
Dy 0.250 0.250 0.084
Dy 0.750 0.750 0.916
Tm 0.250 0.250 0.624
Tm 0.750 0.750 0.376
S 0.250 0.250 0.410
S 0.250 0.250 0.803
S 0.750 0.750 0.197
S 0.750 0.750 0.590
O 0.250 0.750 0.000
O 0.750 0.250 0.000

No. 4
Entry from Alexandria via LeMat-Bulk: a relaxed DyU2S3O2 crystal (PBE).

- Raw formation energy: -2.322 eV per atom
- Symmetry: I4/mmm (139)
- E: -8.51 eV/atom
- Total magnetic moment: 0.60 μB/atom
- Mass density: 8.27 g/cm³

Unit cell a=3.811 b=3.811 c=21.191 alpha=90.00 beta=90.00 gamma=90.00
Fractional coordinates of all 16 atoms:
Dy 0.000 0.000 0.000
Dy 0.500 0.500 0.500
U 0.000 0.000 0.313
U 0.000 0.000 0.687
U 0.500 0.500 0.187
U 0.500 0.500 0.813
S 0.000 0.000 0.129
S 0.000 0.000 0.500
S 0.000 0.000 0.871
S 0.500 0.500 0.000
S 0.500 0.500 0.371
S 0.500 0.500 0.629
O 0.000 0.500 0.250
O 0.000 0.500 0.750
O 0.500 0.000 0.250
O 0.500 0.000 0.750

No. 5
Entry from Alexandria via LeMat-Bulk: a relaxed DyYSO2 crystal (PBE).

- Raw formation energy: -3.049 eV per atom
- Symmetry: I4mm (107)
- E: -8.07 eV/atom
- Total magnetic moment: 0.00 μB/atom
- Mass density: 6.11 g/cm³

Unit cell a=3.785 b=3.785 c=11.963 alpha=90.00 beta=90.00 gamma=90.00
Fractional coordinates of all 10 atoms:
Dy 0.000 0.000 0.000
Dy 0.500 0.500 0.500
Y 0.000 0.000 0.694
Y 0.500 0.500 0.194
S 0.000 0.000 0.346
S 0.500 0.500 0.846
O 0.000 0.500 0.096
O 0.000 0.500 0.596
O 0.500 0.000 0.096
O 0.500 0.000 0.596

No. 6
Entry from Alexandria via LeMat-Bulk: a relaxed Dy2SbO2 crystal (PBE).

- Raw formation energy: -2.730 eV per atom
- ΔE to the lowest computed polymorph: 0.00 kcal/mol of atoms
- Symmetry: I4/mmm (139)
- E: -7.38 eV/atom
- Total magnetic moment: 0.00 μB/atom
- Mass density: 8.01 g/cm³

Unit cell a=3.855 b=3.855 c=13.357 alpha=90.00 beta=90.00 gamma=90.00
Fractional coordinates of all 10 atoms:
Dy 0.000 0.000 0.166
Dy 0.000 0.000 0.834
Dy 0.500 0.500 0.334
Dy 0.500 0.500 0.666
Sb 0.000 0.000 0.500
Sb 0.500 0.500 0.000
O 0.000 0.500 0.250
O 0.000 0.500 0.750
O 0.500 0.000 0.250
O 0.500 0.000 0.750

No. 7
Entry from Alexandria via LeMat-Bulk: a relaxed Dy9Sb5O5 crystal (PBE).

- Raw formation energy: -2.192 eV per atom
- Symmetry: P4/n (85)
- E: -6.76 eV/atom
- Total magnetic moment: 0.00 μB/atom
- Mass density: 8.25 g/cm³

Unit cell a=9.872 b=9.872 c=8.881 alpha=90.00 beta=90.00 gamma=90.00
Fractional coordinates of all 38 atoms:
Dy 0.024 0.333 0.002
Dy 0.045 0.855 0.658
Dy 0.145 0.545 0.342
Dy 0.167 0.024 0.002
Dy 0.250 0.250 0.672
Dy 0.333 0.476 0.002
Dy 0.355 0.955 0.342
Dy 0.455 0.645 0.658
Dy 0.476 0.167 0.002
Dy 0.524 0.833 0.998
Dy 0.545 0.355 0.342
Dy 0.645 0.045 0.658
Dy 0.667 0.524 0.998
Dy 0.750 0.750 0.328
Dy 0.833 0.976 0.998
Dy 0.855 0.455 0.658
Dy 0.955 0.145 0.342
Dy 0.976 0.667 0.998
Sb 0.055 0.846 0.302
Sb 0.154 0.555 0.698
Sb 0.250 0.250 0.319
Sb 0.346 0.945 0.698
Sb 0.445 0.654 0.302
Sb 0.555 0.346 0.698
Sb 0.654 0.055 0.302
Sb 0.750 0.750 0.681
Sb 0.846 0.445 0.302
Sb 0.945 0.154 0.698
O 0.025 0.870 0.914
O 0.130 0.525 0.086
O 0.250 0.250 0.936
O 0.370 0.975 0.086
O 0.475 0.630 0.914
O 0.525 0.370 0.086
O 0.630 0.025 0.914
O 0.750 0.750 0.064
O 0.870 0.475 0.914
O 0.975 0.130 0.086

No. 8
Entry from Alexandria via LeMat-Bulk: a relaxed Dy6SbO12 crystal (PBE).

- Raw formation energy: -3.134 eV per atom
- Symmetry: R-3 (148)
- E: -7.94 eV/atom
- Total magnetic moment: 0.06 μB/atom
- Mass density: 8.13 g/cm³

Unit cell a=6.497 b=6.497 c=6.497 alpha=98.86 beta=98.86 gamma=98.86
Fractional coordinates of all 19 atoms:
Dy 0.110 0.640 0.802
Dy 0.198 0.890 0.360
Dy 0.360 0.198 0.890
Dy 0.640 0.802 0.110
Dy 0.802 0.110 0.640
Dy 0.890 0.360 0.198
Sb 0.500 0.500 0.500
O 0.063 0.322 0.912
O 0.088 0.937 0.678
O 0.196 0.542 0.431
O 0.322 0.912 0.063
O 0.431 0.196 0.542
O 0.458 0.569 0.804
O 0.542 0.431 0.196
O 0.569 0.804 0.458
O 0.678 0.088 0.937
O 0.804 0.458 0.569
O 0.912 0.063 0.322
O 0.937 0.678 0.088